Entry 1:
A plane-wave DFT calculation with PBE was carried out for a geometry-optimized Cs3BS structure.

Properties
Its spin magnetization is 1.98 Bohr magnetons per cell. The uncorrected formation energy is 394.9 meV/atom. The value obtained for the relative energy among the computed polymorphs is 0.0000 eV per atom. The total energy is -11.4 eV per formula unit. As for the crystal system: cubic.

a = 6.7118 Å, b = 6.7118 Å, c = 6.7118 Å
α = 90.00°, β = 90.00°, γ = 90.00°
With the nearest neighbours (Å) after each atom.
Space group Pm-3m (No. 221)
Symmetry-distinct sites (fractional):
Cs 0.0000 0.0000 0.5000 (multiplicity 3)  2 S 3.36
B 0.5000 0.5000 0.5000 (multiplicity 1)  12 Cs 4.75
S 0.0000 0.0000 0.0000 (multiplicity 1)  6 Cs 3.36


Entry 2:
A plane-wave DFT calculation with PBE was carried out for a geometry-optimized Cs5B2S5 structure.

Properties
Its spin magnetization is 0.83 Bohr magnetons per cell. The uncorrected formation energy is -630.5 meV/atom. The total energy is -45.8 eV per formula unit. As for the crystal system: monoclinic.

a = 18.1866 Å, b = 3.7863 Å, c = 14.6285 Å
α = 90.00°, β = 123.10°, γ = 90.00°
With the nearest neighbours (Å) after each atom.
Space group C2/m (No. 12)
Symmetry-distinct sites (fractional):
Cs 0.0000 0.0000 0.0000 (multiplicity 2)  6 S 3.51-3.56, 4 B 3.64, 2 Cs 3.79
Cs 0.1170 0.0000 0.7248 (multiplicity 4)  4 S 3.36-3.69
Cs 0.1369 0.0000 0.4723 (multiplicity 4)  5 S 3.32-3.69
B 0.1369 0.5000 0.2507 (multiplicity 4)  1 S 1.76
S 0.0000 0.5000 0.5000 (multiplicity 2)  8 Cs 3.32-3.36
S 0.0283 0.5000 0.2187 (multiplicity 4)  1 B 1.76
S 0.1946 0.0000 0.2664 (multiplicity 4)  2 B 2.11